one | Entry from the Alexandria database: crystalline Pm6Y3Tl at its relaxed geometry (GGA-PBE).

Computed properties:
Total magnetic moment   0.00 μB per formula unit

Lattice parameters (Å, degrees): 9.899 20.682 6.402 90.00 90.00 90.00
Space group Cmc2_1 (No. 36)
Inequivalent atoms, fractional coordinates:
Pm: 0.000 0.019 0.000 x4
Pm: 0.000 0.286 0.030 x4
Pm: 0.183 0.445 0.256 x8
Pm: 0.186 0.283 0.469 x8
Y: 0.000 0.413 0.729 x4
Y: 0.169 0.127 0.329 x8
Tl: 0.000 0.154 0.758 x4


two | Entry from the Alexandria database: crystalline Pm6Y3Tl at its relaxed geometry (GGA-PBE).

Computed properties:
Total magnetic moment   0.00 μB per formula unit

Lattice parameters (Å, degrees): 12.411 3.616 14.911 90.00 93.79 90.00
Space group P2_1/m (No. 11)
Inequivalent atoms, fractional coordinates:
Pm: 0.064 0.250 0.392 x2
Pm: 0.120 0.750 0.954 x2
Pm: 0.198 0.250 0.751 x2
Pm: 0.295 0.750 0.312 x2
Pm: 0.310 0.250 0.108 x2
Pm: 0.387 0.250 0.496 x2
Y: 0.074 0.750 0.182 x2
Y: 0.399 0.750 0.917 x2
Y: 0.447 0.750 0.696 x2
Tl: 0.190 0.750 0.559 x2


Q: Which of them is the most stable? A: two.


one | Entry from the Alexandria database: crystalline Pm4YTl2 at its relaxed geometry (GGA-PBE).

Computed properties:
Total magnetic moment   0.00 μB per formula unit

Lattice parameters (Å, degrees): 5.5933 5.5933 26.8891 90.00 90.00 120.00
Space group R-3m (No. 166, hexagonal axes)
Inequivalent atoms, fractional coordinates:
Pm: 0.0000 0.0000 0.1305 x6
Pm: 0.0000 0.0000 0.2668 x6
Y: 0.0000 0.0000 0.5000 x3
Tl: 0.0000 0.0000 0.3850 x6


two | Entry from the Alexandria database: crystalline Pm4YTl2 at its relaxed geometry (GGA-PBE).

Computed properties:
Total magnetic moment   0.61 μB per formula unit

Lattice parameters (Å, degrees): 6.780 10.717 6.265 90.00 97.20 90.00
Space group C2/m (No. 12)
Inequivalent atoms, fractional coordinates:
Pm: 0.000 0.212 0.000 x4
Pm: 0.250 0.250 0.500 x4
Y: 0.000 0.000 0.500 x2
Tl: 0.076 0.500 0.765 x4


Q: Which of them is the most stable? A: one.


one | Entry from the Alexandria database: crystalline Pm4TlZn at its relaxed geometry (GGA-PBE).

Computed properties:
Total magnetic moment   0.72 μB per formula unit

Lattice parameters (Å, degrees): 3.706 3.706 13.010 90.00 90.00 90.00
Space group P4/mmm (No. 123)
Inequivalent atoms, fractional coordinates:
Pm: 0.000 0.000 0.139 x2
Pm: 0.500 0.500 0.336 x2
Tl: 0.000 0.000 0.500 x1
Zn: 0.500 0.500 0.000 x1


two | Entry from the Alexandria database: crystalline Pm4TlZn at its relaxed geometry (GGA-PBE).

Computed properties:
Total magnetic moment   0.00 μB per formula unit

Lattice parameters (Å, degrees): 5.147 5.147 7.446 90.00 90.00 90.00
Space group P4/mmm (No. 123)
Inequivalent atoms, fractional coordinates:
Pm: 0.000 0.500 0.233 x4
Tl: 0.000 0.000 0.500 x1
Zn: 0.500 0.500 0.000 x1


Q: Which of them is the most stable? A: one.


one | Entry from the Alexandria database: crystalline Pm4TlZn2 at its relaxed geometry (GGA-PBE).

Computed properties:
Total magnetic moment   0.00 μB per formula unit

Lattice parameters (Å, degrees): 5.1075 5.1075 27.9320 90.00 90.00 120.00
Space group R-3m (No. 166, hexagonal axes)
Inequivalent atoms, fractional coordinates:
Pm: 0.0000 0.0000 0.1178 x6
Pm: 0.0000 0.0000 0.2972 x6
Tl: 0.0000 0.0000 0.5000 x3
Zn: 0.0000 0.0000 0.4021 x6


two | Entry from the Alexandria database: crystalline Pm4TlZn2 at its relaxed geometry (GGA-PBE).

Computed properties:
Total magnetic moment   0.00 μB per formula unit

Lattice parameters (Å, degrees): 5.2144 5.2144 25.0309 90.00 90.00 120.00
Space group R-3m (No. 166, hexagonal axes)
Inequivalent atoms, fractional coordinates:
Pm: 0.0000 0.0000 0.1145 x6
Pm: 0.0000 0.0000 0.3675 x6
Tl: 0.0000 0.0000 0.5000 x3
Zn: 0.0000 0.0000 0.2457 x6


Q: Which of them is the most stable? A: two.


one | Entry from the Alexandria database: crystalline Pm3Tl2Zn at its relaxed geometry (GGA-PBE).

Computed properties:
Total magnetic moment   0.00 μB per formula unit

Lattice parameters (Å, degrees): 5.3994 5.3994 13.2610 90.00 90.00 120.00
Space group P-3m1 (No. 164)
Inequivalent atoms, fractional coordinates:
Pm: 0.0000 0.0000 0.2425 x2
Pm: 0.3333 0.6667 0.4093 x2
Pm: 0.3333 0.6667 0.9183 x2
Tl: 0.0000 0.0000 0.0000 x1
Tl: 0.0000 0.0000 0.5000 x1
Tl: 0.3333 0.6667 0.6700 x2
Zn: 0.3333 0.6667 0.1662 x2


two | Entry from the Alexandria database: crystalline Pm3Tl2Zn at its relaxed geometry (GGA-PBE).

Computed properties:
Total magnetic moment   0.00 μB per formula unit

Lattice parameters (Å, degrees): 3.744 3.744 11.830 90.00 90.00 90.00
Space group P4/mmm (No. 123)
Inequivalent atoms, fractional coordinates:
Pm: 0.000 0.000 0.000 x1
Pm: 0.000 0.000 0.353 x2
Tl: 0.500 0.500 0.178 x2
Zn: 0.500 0.500 0.500 x1


Q: Which of them is the most stable? A: two.


one | Entry from the Alexandria database: crystalline Pm4Tm at its relaxed geometry (GGA-PBE).

Computed properties:
Total magnetic moment   0.00 μB per formula unit

Lattice parameters (Å, degrees): 5.785 5.785 5.785 90.00 90.00 90.00
Space group Pm-3m (No. 221)
Inequivalent atoms, fractional coordinates:
Pm: 0.000 0.000 0.000 x1
Pm: 0.000 0.500 0.500 x3
Tm: 0.500 0.500 0.500 x1


two | Entry from the Alexandria database: crystalline Pm4Tm at its relaxed geometry (GGA-PBE).

Computed properties:
Total magnetic moment   0.00 μB per formula unit

Lattice parameters (Å, degrees): 6.268 3.618 14.864 90.00 98.01 90.00
Space group C2/m (No. 12)
Inequivalent atoms, fractional coordinates:
Pm: 0.101 0.000 0.305 x4
Pm: 0.201 0.500 0.101 x4
Tm: 0.000 0.500 0.500 x2


Q: Which of them is the most stable? A: two.


one | Entry from the Alexandria database: crystalline PmTm at its relaxed geometry (GGA-PBE).

Computed properties:
Total magnetic moment   0.00 μB per formula unit

Lattice parameters (Å, degrees): 4.024 4.024 4.024 90.00 90.00 90.00
Space group Pm-3m (No. 221)
Inequivalent atoms, fractional coordinates:
Pm: 0.000 0.000 0.000 x1
Tm: 0.500 0.500 0.500 x1


two | Entry from the Alexandria database: crystalline PmTm at its relaxed geometry (GGA-PBE).

Computed properties:
Total magnetic moment   0.00 μB per formula unit

Lattice parameters (Å, degrees): 5.694 3.650 6.278 90.00 90.00 90.00
Space group Pmma (No. 51)
Inequivalent atoms, fractional coordinates:
Pm: 0.250 0.000 0.169 x2
Tm: 0.250 0.500 0.665 x2


three | Entry from the Alexandria database: crystalline PmTm at its relaxed geometry (GGA-PBE).

Computed properties:
Total magnetic moment   0.77 μB per formula unit

Lattice parameters (Å, degrees): 6.482 6.482 6.482 90.00 90.00 90.00
Space group Fm-3m (No. 225)
Inequivalent atoms, fractional coordinates:
Pm: 0.000 0.000 0.000 x4
Tm: 0.000 0.000 0.500 x4


four | Entry from the Alexandria database: crystalline PmTm at its relaxed geometry (GGA-PBE).

Computed properties:
Total magnetic moment   0.00 μB per formula unit

Lattice parameters (Å, degrees): 3.542 5.587 6.760 90.00 105.13 90.00
Space group P2_1/m (No. 11)
Inequivalent atoms, fractional coordinates:
Pm: 0.062 0.250 0.124 x2
Tm: 0.322 0.250 0.642 x2


Q: Which of them is the most stable? A: two.


one | Entry from the Alexandria database: crystalline Pm4Tm5 at its relaxed geometry (GGA-PBE).

Computed properties:
Total magnetic moment   0.00 μB per formula unit

Lattice parameters (Å, degrees): 9.7303 9.7303 7.0090 90.00 90.00 120.00
Space group P6_3/mcm (No. 193)
Inequivalent atoms, fractional coordinates:
Pm: 0.0000 0.0000 0.0000 x2
Pm: 0.0000 0.3551 0.2500 x6
Tm: 0.0000 0.3167 0.7500 x6
Tm: 0.3333 0.6667 0.0000 x4


two | Entry from the Alexandria database: crystalline Pm4Tm5 at its relaxed geometry (GGA-PBE).

Computed properties:
Total magnetic moment   0.00 μB per formula unit

Lattice parameters (Å, degrees): 3.657 12.111 12.999 90.00 90.00 90.00
Space group Immm (No. 71)
Inequivalent atoms, fractional coordinates:
Pm: 0.000 0.143 0.189 x8
Tm: 0.000 0.203 0.500 x4
Tm: 0.000 0.500 0.125 x4
Tm: 0.000 0.500 0.500 x2


Q: Which of them is the most stable? A: two.


one | Entry from the Alexandria database: crystalline PmTm5 at its relaxed geometry (GGA-PBE).

Computed properties:
Total magnetic moment   0.00 μB per formula unit

Lattice parameters (Å, degrees): 9.492 3.450 11.576 90.00 90.00 90.00
Space group Amm2 (No. 38)
Inequivalent atoms, fractional coordinates:
Pm: 0.000 0.000 0.000 x2
Tm: 0.182 0.000 0.275 x4
Tm: 0.325 0.000 0.542 x4
Tm: 0.500 0.000 0.820 x2


two | Entry from the Alexandria database: crystalline PmTm5 at its relaxed geometry (GGA-PBE).

Computed properties:
Total magnetic moment   0.00 μB per formula unit

Lattice parameters (Å, degrees): 11.108 4.962 7.031 90.00 108.37 90.00
Space group C2/m (No. 12)
Inequivalent atoms, fractional coordinates:
Pm: 0.000 0.000 0.000 x2
Tm: 0.000 0.000 0.500 x2
Tm: 0.166 0.500 0.832 x4
Tm: 0.168 0.500 0.335 x4


Q: Which of them is the most stable? A: two.


one | Entry from the Alexandria database: crystalline Pm4Tm3 at its relaxed geometry (GGA-PBE).

Computed properties:
Total magnetic moment   0.00 μB per formula unit

Lattice parameters (Å, degrees): 9.534 5.881 9.074 90.00 116.01 90.00
Space group C2/m (No. 12)
Inequivalent atoms, fractional coordinates:
Pm: 0.138 0.000 0.417 x4
Pm: 0.214 0.500 0.139 x4
Tm: 0.000 0.000 0.000 x2
Tm: 0.066 0.500 0.710 x4


two | Entry from the Alexandria database: crystalline Pm4Tm3 at its relaxed geometry (GGA-PBE).

Computed properties:
Total magnetic moment   0.00 μB per formula unit

Lattice parameters (Å, degrees): 16.862 3.500 8.751 90.00 116.62 90.00
Space group C2/m (No. 12)
Inequivalent atoms, fractional coordinates:
Pm: 0.080 0.000 0.205 x4
Pm: 0.138 0.500 0.907 x4
Tm: 0.000 0.000 0.500 x2
Tm: 0.221 0.000 0.644 x4


Q: Which of them is the most stable? A: one.